Material: BaReSi2
Method: DFT, PBE-GGA
State: relaxed

Lattice parameters (Å, degrees): 3.308 3.308 7.512 90.00 90.00 90.00
Element x y z (fractional)
Ba 0.000 0.000 0.502
Re 0.500 0.500 0.855
Si 0.500 0.500 0.172
Si 0.000 0.000 0.972

Properties
crystal system	tetragonal
raw formation energy	0.185	eV/atom
calculated total energy	-24.5	eV per formula unit